Record 1
# CsCuBiF6

CsCuBiF6 after structural relaxation (PBE, the Alexandria database).

Raw formation energy = -2229.5 meV per atom
Space group = P1, No. 1
Raw total energy = -4.4582 eV/atom

a b c (Å): 5.6623 6.1843 6.1620
angles (deg): 90.16 91.52 60.95
Last column: nearest neighbours and their distance in Å.
Sites, in units of the cell vectors:
1 F 0.3555 0.6834 0.3346  1 Cu 1.92
2 F 0.4030 0.0691 0.7337  1 Bi 2.15
3 F 0.6013 0.4441 0.6954  1 Cu 1.94
4 F 0.9926 0.5958 0.6583  1 Cu 1.97
5 F 0.6562 0.9251 0.3312  1 Cu 1.94
6 F 0.9914 0.3217 0.3116  1 Bi 2.20, 1 Cu 2.38
7 Cs 0.9976 0.9796 0.9631  6 F 2.98-3.14
8 Bi 0.3467 0.3175 0.4693  5 F 2.15-2.37
9 Cu 0.6555 0.6637 0.5027  4 F 1.92-1.97

=====

Record 2
# Ac4CoPd2

Ac4CoPd2 after structural relaxation (PBE, the Alexandria database).

Polymorph energy (0 for the lowest one) = 122 meV/atom
Energy of formation = -200 kJ/mol of formula units
Space group = I4/mmm, No. 139
Raw total energy = -5.1425 eV/atom

a b c (Å): 5.3746 5.3746 8.6830
angles (deg): 108.03 108.03 90.00
Last column: nearest neighbours and their distance in Å.
Sites, in units of the cell vectors:
1 Pd 0.3731 0.3731 0.7463  1 Ac 2.89
2 Pd 0.6269 0.6269 0.2537  1 Ac 2.89
3 Ac 0.0000 0.5000 0.0000  2 Co 2.69
4 Ac 0.1878 0.1878 0.3755  1 Pd 2.89, 1 Co 2.93
5 Ac 0.5000 0.0000 0.0000  2 Co 2.69
6 Ac 0.8122 0.8122 0.6245  1 Pd 2.89, 1 Co 2.93
7 Co 0.0000 0.0000 0.0000  6 Ac 2.69-2.93

=====

Record 3
# K2RbZnOs

K2RbZnOs after structural relaxation (PBE, the Alexandria database).

Energy of formation = 424 kJ/mol of formula units
Space group = P4/mmm, No. 123
Raw total energy = -2.2554 eV/atom

a b c (Å): 6.3237 4.8944 6.3237
angles (deg): 90.00 90.00 90.00
Last column: nearest neighbours and their distance in Å.
Sites, in units of the cell vectors:
1 Os 0.0000 0.5000 0.0000  2 Zn 2.45
2 K 0.5000 0.0000 0.0000  2 Zn 3.16
3 K 0.0000 0.0000 0.5000  2 Zn 3.16
4 Rb 0.5000 0.5000 0.5000  8 K 4.00, 4 Os 4.47
5 Zn 0.0000 0.0000 0.0000  2 Os 2.45

=====

Record 4
# Cs3RuS

Cs3RuS after structural relaxation (PBE, the Alexandria database).

Polymorph energy (0 for the lowest one) = 0 meV/atom
Raw formation energy = 445.4 meV per atom
Space group = Pm-3m, No. 221
Raw total energy = -2.7474 eV/atom

a b c (Å): 6.7286 6.7286 6.7286
angles (deg): 90.00 90.00 90.00
Last column: nearest neighbours and their distance in Å.
Sites, in units of the cell vectors:
1 S 0.0000 0.0000 0.0000  6 Cs 3.36
2 Ru 0.5000 0.5000 0.5000  12 Cs 4.76
3 Cs 0.5000 0.0000 0.0000  2 S 3.36
4 Cs 0.0000 0.5000 0.0000  2 S 3.36
5 Cs 0.0000 0.0000 0.5000  2 S 3.36

=====

Record 5
# K2TiB2

K2TiB2 after structural relaxation (PBE, the Alexandria database).

Polymorph energy (0 for the lowest one) = 98 meV/atom
Energy of formation = 582 kJ/mol of formula units
Space group = P4/mbm, No. 127
Raw total energy = -3.4830 eV/atom

a b c (Å): 6.4266 6.4266 5.5444
angles (deg): 90.00 90.00 90.00
Last column: nearest neighbours and their distance in Å.
Sites, in units of the cell vectors:
1 B 0.7204 0.2204 0.0000  2 Ti 2.29
2 B 0.2796 0.7796 0.0000  2 Ti 2.29
3 B 0.7796 0.7204 0.0000  2 Ti 2.29
4 B 0.2204 0.2796 0.0000  2 Ti 2.29
5 Ti 0.5000 0.5000 0.0000  4 B 2.29
6 Ti 0.0000 0.0000 0.0000  4 B 2.29
7 K 0.6591 0.8409 0.5000  1 K 2.89, 2 B 2.98
8 K 0.1591 0.6591 0.5000  1 K 2.89, 2 B 2.98
9 K 0.3409 0.1591 0.5000  1 K 2.89, 2 B 2.98
10 K 0.8409 0.3409 0.5000  1 K 2.89, 2 B 2.98

=====

Record 6
# YZn2Rh2

YZn2Rh2 after structural relaxation (PBE, the Alexandria database).

Polymorph energy (0 for the lowest one) = 23 meV/atom
Energy of formation = -247 kJ/mol of formula units
Space group = I4/mmm, No. 139
Raw total energy = -5.2547 eV/atom

a b c (Å): 3.9410 3.9410 6.4220
angles (deg): 72.13 72.13 90.00
Last column: nearest neighbours and their distance in Å.
Sites, in units of the cell vectors:
1 Rh 0.3892 0.3892 0.2216  4 Zn 2.55, 1 Rh 2.56
2 Rh 0.6108 0.6108 0.7784  4 Zn 2.55, 1 Rh 2.56
3 Zn 0.2500 0.7500 0.5000  4 Rh 2.55, 4 Zn 2.79
4 Zn 0.7500 0.2500 0.5000  4 Rh 2.55, 4 Zn 2.79
5 Y 0.0000 0.0000 0.0000  8 Rh 3.07

=====

Record 7
# InAg2N

InAg2N after structural relaxation (PBE, the Alexandria database).

Polymorph energy (0 for the lowest one) = 238 meV/atom
Raw formation energy = 941.1 meV per atom
Space group = Fm-3m, No. 225
Raw total energy = -3.2505 eV/atom

a b c (Å): 4.5322 4.5322 4.5322
angles (deg): 60.00 60.00 60.00
Last column: nearest neighbours and their distance in Å.
Sites, in units of the cell vectors:
1 Ag 0.7500 0.7500 0.7500  4 In 2.78, 4 N 2.78
2 Ag 0.2500 0.2500 0.2500  4 In 2.78, 4 N 2.78
3 In 0.5000 0.5000 0.5000  8 Ag 2.78
4 N 0.0000 0.0000 0.0000  8 Ag 2.78

=====

Record 8
# LiTb2DyTl4

LiTb2DyTl4 after structural relaxation (PBE, the Alexandria database).

Energy of formation = -256 kJ/mol of formula units
Space group = R-3m, No. 166
Raw total energy = -3.4868 eV/atom

a b c (Å): 5.2422 5.2422 9.3466
angles (deg): 73.71 73.71 60.00
Last column: nearest neighbours and their distance in Å.
Sites, in units of the cell vectors:
1 Tl 0.8730 0.8730 0.3811  4 Tb 3.14-3.20, 3 Li 3.20, 1 Dy 3.37
2 Tl 0.1270 0.1270 0.6189  4 Tb 3.14-3.20, 3 Li 3.20, 1 Dy 3.37
3 Tl 0.6233 0.6233 0.1301  3 Dy 3.24, 4 Tb 3.25-3.49, 1 Li 3.27
4 Tl 0.3767 0.3767 0.8699  3 Dy 3.24, 4 Tb 3.25-3.49, 1 Li 3.27
5 Dy 0.0000 0.0000 0.0000  8 Tl 3.24-3.37
6 Li 0.5000 0.5000 0.5000  8 Tl 3.20-3.27
7 Tb 0.7547 0.7547 0.7358  8 Tl 3.14-3.49
8 Tb 0.2453 0.2453 0.2642  8 Tl 3.14-3.49

=====

Record 9
# SbMo2Ir

SbMo2Ir after structural relaxation (PBE, the Alexandria database).

Raw formation energy = 200.0 meV per atom
Space group = Pmmm, No. 47
Raw total energy = -8.4614 eV/atom

a b c (Å): 3.5657 4.1121 4.5513
angles (deg): 90.00 90.00 90.00
Last column: nearest neighbours and their distance in Å.
Sites, in units of the cell vectors:
1 Mo 0.0000 0.0000 0.0000  4 Mo 2.72, 4 Sb 2.89
2 Mo 0.5000 0.5000 0.0000  4 Mo 2.72, 4 Ir 2.89
3 Sb 0.5000 0.0000 0.5000  4 Ir 2.72, 4 Mo 2.89
4 Ir 0.0000 0.5000 0.5000  4 Sb 2.72, 4 Mo 2.89

=====

Record 10
# FeIr2

FeIr2 after structural relaxation (PBE, the Alexandria database).

Energy of formation = -10 kJ/mol of formula units
Space group = I4/mmm, No. 139
Raw total energy = -8.7617 eV/atom

a b c (Å): 5.8716 5.8716 5.8716
angles (deg): 153.29 153.29 38.13
Last column: nearest neighbours and their distance in Å.
Sites, in units of the cell vectors:
1 Ir 0.8383 0.8383 0.0000  4 Fe 2.63, 8 Ir 2.71-2.74
2 Ir 0.1617 0.1617 0.0000  4 Fe 2.63, 8 Ir 2.71-2.74
3 Fe 0.5000 0.5000 0.0000  8 Ir 2.63, 4 Fe 2.71

=====

Record 11
# PrNdTm2

PrNdTm2 after structural relaxation (PBE, the Alexandria database).

Polymorph energy (0 for the lowest one) = 75 meV/atom
Energy of formation = 36 kJ/mol of formula units
Space group = Fm-3m, No. 225
Raw total energy = -4.5303 eV/atom

a b c (Å): 5.7232 5.7232 5.7232
angles (deg): 60.00 60.00 60.00
Last column: nearest neighbours and their distance in Å.
Sites, in units of the cell vectors:
1 Pr 0.5000 0.5000 0.5000  8 Tm 3.50
2 Tm 0.7500 0.7500 0.7500  4 Pr 3.50, 4 Nd 3.50
3 Tm 0.2500 0.2500 0.2500  4 Pr 3.50, 4 Nd 3.50
4 Nd 0.0000 0.0000 0.0000  8 Tm 3.50

=====

Record 12
# La2Nd3Y6Pu

La2Nd3Y6Pu after structural relaxation (PBE, the Alexandria database).

Energy of formation = 48 kJ/mol of formula units
Space group = C2/m, No. 12
Raw total energy = -6.3982 eV/atom

a b c (Å): 6.2697 6.2697 11.8744
angles (deg): 95.06 95.06 120.03
Last column: nearest neighbours and their distance in Å.
Sites, in units of the cell vectors:
1 Nd 0.1671 0.8329 0.5000  6 Y 3.60-3.62, 6 Nd 3.61-3.63
2 Nd 0.5000 0.5000 0.5000  6 Y 3.60-3.62, 6 Nd 3.62
3 Nd 0.8329 0.1671 0.5000  6 Y 3.60-3.62, 6 Nd 3.61-3.63
4 Y 0.7544 0.7544 0.2487  1 Pu 3.56, 6 Y 3.57-3.65, 2 La 3.59, 3 Nd 3.60-3.62
5 Y 0.2456 0.2456 0.7513  1 Pu 3.56, 6 Y 3.57-3.65, 2 La 3.59, 3 Nd 3.60-3.62
6 Y 0.5888 0.9172 0.7513  1 Pu 3.56, 6 Y 3.57-3.65, 2 La 3.59, 3 Nd 3.60-3.62
7 Y 0.4112 0.0828 0.2487  1 Pu 3.56, 6 Y 3.57-3.65, 2 La 3.59, 3 Nd 3.60-3.62
8 Y 0.0828 0.4112 0.2487  1 Pu 3.56, 6 Y 3.57-3.65, 2 La 3.59, 3 Nd 3.60-3.62
9 Y 0.9172 0.5888 0.7513  1 Pu 3.56, 6 Y 3.57-3.65, 2 La 3.59, 3 Nd 3.60-3.62
10 La 0.6667 0.3333 0.0000  6 Y 3.59, 3 La 3.62, 3 Pu 3.62
11 La 0.3333 0.6667 0.0000  6 Y 3.59, 3 La 3.62, 3 Pu 3.62
12 Pu 0.0000 0.0000 0.0000  6 Y 3.56, 6 La 3.62

=====

Repeat the ninth record exactly.
# SbMo2Ir

SbMo2Ir after structural relaxation (PBE, the Alexandria database).

Raw formation energy = 200.0 meV per atom
Space group = Pmmm, No. 47
Raw total energy = -8.4614 eV/atom

a b c (Å): 3.5657 4.1121 4.5513
angles (deg): 90.00 90.00 90.00
Last column: nearest neighbours and their distance in Å.
Sites, in units of the cell vectors:
1 Mo 0.0000 0.0000 0.0000  4 Mo 2.72, 4 Sb 2.89
2 Mo 0.5000 0.5000 0.0000  4 Mo 2.72, 4 Ir 2.89
3 Sb 0.5000 0.0000 0.5000  4 Ir 2.72, 4 Mo 2.89
4 Ir 0.0000 0.5000 0.5000  4 Sb 2.72, 4 Mo 2.89

=====

Repeat the fourth record exactly.
# Cs3RuS

Cs3RuS after structural relaxation (PBE, the Alexandria database).

Polymorph energy (0 for the lowest one) = 0 meV/atom
Raw formation energy = 445.4 meV per atom
Space group = Pm-3m, No. 221
Raw total energy = -2.7474 eV/atom

a b c (Å): 6.7286 6.7286 6.7286
angles (deg): 90.00 90.00 90.00
Last column: nearest neighbours and their distance in Å.
Sites, in units of the cell vectors:
1 S 0.0000 0.0000 0.0000  6 Cs 3.36
2 Ru 0.5000 0.5000 0.5000  12 Cs 4.76
3 Cs 0.5000 0.0000 0.0000  2 S 3.36
4 Cs 0.0000 0.5000 0.0000  2 S 3.36
5 Cs 0.0000 0.0000 0.5000  2 S 3.36